# 1
CaSnPd2O | the Alexandria database | GGA-PBEsol | optimized geometry; space group = P4/mmm (123); volume = 28.21 A^3/atom; E_tot = -20.747 eV per cell; formation energy (no corrections) = 0.562 eV/atom
1.0
4.778 0.000 0.000
0.000 4.778 0.000
0.000 0.000 6.177
O Ca Sn Pd
1 1 1 2
direct
0.500 0.500 0.500
0.000 0.000 0.500
0.000 0.000 0.000
0.000 0.500 0.000
0.500 0.000 0.000

---

# 2
CaZnPd2O | the Alexandria database | GGA-PBEsol | optimized geometry; space group = P4/mmm (123); volume = 15.89 A^3/atom; E_tot = -23.875 eV per cell; formation energy (no corrections) = -0.599 eV/atom
1.0
-4.207 -0.056 -0.854
0.760 -2.236 -3.595
-0.398 -3.674 2.201
O Zn Ca Pd
1 1 1 2
direct
0.000 0.000 0.000
0.500 0.500 0.500
0.500 0.000 0.000
0.000 0.000 0.500
0.000 0.500 0.000

---

# 3
CaPt3O | the Alexandria database | GGA-PBEsol | optimized geometry; space group = Pm-3m (221); volume = 16.06 A^3/atom; E_tot = -28.557 eV per cell; formation energy (no corrections) = -0.057 eV/atom
1.0
-1.392 1.467 -3.811
3.083 -2.263 -1.997
-2.678 -3.367 -0.318
Ca O Pt
1 1 3
direct
0.500 0.500 0.500
0.000 0.000 0.000
0.000 0.500 0.000
0.000 0.000 0.500
0.500 0.000 0.000

---

# 4
CaPt3O4 | the Alexandria database | GGA-PBEsol | optimized geometry; space group = Pm-3n (223); volume = 12.05 A^3/atom; E_tot = -105.552 eV per cell; formation energy (no corrections) = -1.094 eV/atom
1.0
5.777 0.000 0.000
0.000 5.777 0.000
0.000 0.000 5.777
Ca Pt O
2 6 8
direct
0.000 0.000 0.000
0.500 0.500 0.500
0.000 0.500 0.250
0.000 0.500 0.750
0.250 0.000 0.500
0.500 0.250 0.000
0.500 0.750 0.000
0.750 0.000 0.500
0.250 0.250 0.250
0.250 0.750 0.250
0.250 0.250 0.750
0.250 0.750 0.750
0.750 0.250 0.250
0.750 0.250 0.750
0.750 0.750 0.250
0.750 0.750 0.750